Here is a geometry-optimized Li2Ti3CoP6O24 structure from Alexandria via LeMat-Bulk. Energies are from GGA+U.

```
Li2Ti3CoP6O24
1.0
4.315 2.491 7.025
-4.315 2.491 7.025
0.000 -4.982 7.025
Li Ti Co P O
2 3 1 6 24
Cartesian
0.000 0.000 0.000 Li
0.000 0.000 10.356 Li
0.000 0.000 7.348 Ti
0.000 0.000 13.382 Ti
0.000 0.000 17.946 Ti
0.000 0.000 2.860 Co
-3.058 -0.312 8.632 P
-1.249 -2.810 12.102 P
1.799 -2.493 8.632 P
-1.809 2.487 12.102 P
1.259 2.804 8.632 P
3.058 0.323 12.102 P
-3.703 1.082 8.530 O
-2.791 -2.670 12.195 O
-0.791 -1.398 6.341 O
-0.789 -3.490 10.820 O
-1.516 -0.160 8.685 O
0.914 -3.748 8.530 O
-0.815 1.384 6.341 O
-2.628 2.429 10.820 O
-0.644 -1.382 12.097 O
0.897 -1.233 8.685 O
1.606 0.014 6.341 O
-1.610 0.011 14.403 O
-0.875 1.249 12.097 O
0.620 1.393 8.685 O
-1.622 0.034 16.916 O
0.796 -1.400 14.403 O
-0.917 3.752 12.195 O
1.519 0.133 12.097 O
0.781 -1.422 16.916 O
0.815 1.389 14.403 O
2.788 2.666 8.530 O
3.708 -1.082 12.195 O
3.418 1.062 10.820 O
0.841 1.387 16.916 O
```

Values from the calculation:
Density of states at the Fermi level, states/eV/atom: 0.436
Total energy, eV/atom: -7.44